No. 1
Mn3Pd7: optimized geometry, PBE.

a = 4.0064 Å, b = 5.5090 Å, c = 7.3462 Å
α = 103.17°, β = 105.82°, γ = 90.00°
Atoms (fractional coordinates):
Pd 0.4039 0.1804 0.8078
Pd 0.2037 0.1215 0.4073
Mn 0.1942 0.6210 0.3884
Pd 0.7963 0.8785 0.5927
Pd 0.6079 0.3261 0.2157
Mn 0.0000 0.0000 0.0000
Pd 0.3921 0.6739 0.7843
Mn 0.8058 0.3790 0.6116
Pd 0.0000 0.5000 0.0000
Pd 0.5961 0.8196 0.1922

Values from the calculation:
Total energy, eV/atom: -6.62


No. 2
KTi2AsO6: optimized geometry, PBE.

a = 6.2752 Å, b = 7.6281 Å, c = 7.6281 Å
α = 83.83°, β = 75.27°, γ = 75.27°
Atoms (fractional coordinates):
As 0.7500 0.7201 0.2799
O 0.5917 0.1620 0.5977
O 0.3113 0.2607 0.9428
O 0.4671 0.2969 0.2623
O 0.5329 0.7031 0.7377
Ti 0.7046 0.1722 0.3613
O 0.9671 0.2623 0.2969
As 0.2500 0.2799 0.7201
O 0.4083 0.8380 0.4023
Ti 0.2046 0.3613 0.1722
O 0.6887 0.7393 0.0572
K 0.7500 0.1063 0.8937
O 0.0917 0.5977 0.1620
O 0.9083 0.4023 0.8380
O 0.0329 0.7377 0.7031
K 0.2500 0.8937 0.1063
Ti 0.7954 0.6387 0.8278
Ti 0.2954 0.8278 0.6387
O 0.1887 0.0572 0.7393
O 0.8113 0.9428 0.2607

Values from the calculation:
E_form (uncorrected), eV/f.u.: -23.93
Total energy, eV/atom: -7.52


No. 3
PmErTl2Se4: optimized geometry, PBE.

a = 4.2242 Å, b = 7.3200 Å, c = 8.1405 Å
α = 107.41°, β = 90.00°, γ = 90.00°
Atoms (fractional coordinates):
Pm 0.5000 0.5000 0.0000
Se 0.5000 0.7729 0.7959
Se 0.0000 0.7436 0.2077
Tl 0.5000 0.0000 0.5000
Tl 0.0000 0.5000 0.5000
Se 0.0000 0.2564 0.7923
Se 0.5000 0.2271 0.2041
Er 0.0000 0.0000 0.0000

Values from the calculation:
E_form (uncorrected), eV/f.u.: -11.03
Total energy, eV/atom: -4.88


No. 4
Ti6Cu2Sn: optimized geometry, PBE.

a = 7.3787 Å, b = 7.3787 Å, c = 7.3787 Å
α = 101.65°, β = 114.36°, γ = 112.68°
Atoms (fractional coordinates):
Sn 0.0000 0.5000 0.5000
Ti 0.7211 0.0341 0.3130
Ti 0.2188 0.7472 0.9660
Cu 0.5000 0.3762 0.8762
Ti 0.2789 0.9659 0.6870
Ti 0.9213 0.7110 0.2103
Cu 0.6474 0.0000 0.6474
Ti 0.2789 0.5919 0.3130
Ti 0.7812 0.7472 0.5285
Cu 0.5000 0.6238 0.1238
Sn 0.0000 0.0000 0.0000
Ti 0.5007 0.7110 0.7897
Ti 0.2188 0.2528 0.4715
Ti 0.7211 0.4081 0.6870
Ti 0.7812 0.2528 0.0340
Ti 0.0787 0.2890 0.7897
Ti 0.4993 0.2890 0.2103
Cu 0.3526 0.0000 0.3526

Values from the calculation:
Total energy, eV/atom: -6.66


No. 5
BaIn2Co: optimized geometry, PBE.

a = 5.3195 Å, b = 5.3195 Å, c = 5.3195 Å
α = 119.97°, β = 119.97°, γ = 90.06°
Atoms (fractional coordinates):
Co 0.7500 0.2500 0.5000
In 0.0000 0.0000 0.0000
Ba 0.5000 0.5000 0.0000
In 0.2500 0.7500 0.5000

Values from the calculation:
Total energy, eV/atom: -3.35


No. 6
FeRe2Pt: optimized geometry, PBE.

a = 4.7339 Å, b = 4.7339 Å, c = 4.7117 Å
α = 80.14°, β = 80.14°, γ = 33.43°
Atoms (fractional coordinates):
Pt 0.7500 0.7500 0.7500
Re 0.9971 0.9971 0.0098
Re 0.5029 0.5029 0.4902
Fe 0.2500 0.2500 0.2500

Values from the calculation:
Total energy, eV/atom: -9.82
Offset from the most stable computed form, eV/atom: 0.050


No. 7
AsSeCl2: optimized geometry, PBE.

a = 5.3262 Å, b = 5.3262 Å, c = 3.0516 Å
α = 90.00°, β = 90.00°, γ = 110.29°
Atoms (fractional coordinates):
Cl 0.0000 0.0000 0.0000
As 0.0000 0.5000 0.5000
Se 0.5000 0.0000 0.5000
Cl 0.5000 0.5000 0.0000

Values from the calculation:
E_form (uncorrected), eV/f.u.: 2.21
Total energy, eV/atom: -2.40
Offset from the most stable computed form, eV/atom: 0.876


No. 8
NaSi2As3: optimized geometry, PBE.

a = 3.8528 Å, b = 7.6003 Å, c = 11.4702 Å
α = 111.46°, β = 99.67°, γ = 90.00°
Atoms (fractional coordinates):
As 0.9348 0.0830 0.8696
As 0.2248 0.2698 0.4495
As 0.7752 0.7302 0.5505
As 0.4117 0.5893 0.8233
Si 0.9537 0.8013 0.9074
Si 0.0463 0.1987 0.0926
As 0.0652 0.9170 0.1304
Na 0.3516 0.1586 0.7033
Si 0.6931 0.4095 0.3862
Na 0.6484 0.8414 0.2967
As 0.5883 0.4107 0.1767
Si 0.3069 0.5905 0.6138

Values from the calculation:
E_form (uncorrected), eV/f.u.: -0.75
Total energy, eV/atom: -4.48


No. 9
Ca2FeTc: optimized geometry, PBE.

a = 10.6705 Å, b = 10.6705 Å, c = 7.8451 Å
α = 47.15°, β = 47.15°, γ = 90.00°
Atoms (fractional coordinates):
Ca 0.3750 0.5500 0.7500
Fe 0.2500 0.7500 0.5000
Ca 0.4500 0.1250 0.2500
Ca 0.8750 0.7000 0.7500
Tc 0.0000 0.0000 0.0000
Tc 0.7500 0.2500 0.5000
Ca 0.3000 0.6250 0.2500
Fe 0.5000 0.5000 0.0000

Values from the calculation:
Total energy, eV/atom: -4.93
Offset from the most stable computed form, eV/atom: 0.429


No. 10
BiPb2N2: optimized geometry, PBE.

a = 3.6840 Å, b = 3.6840 Å, c = 8.1327 Å
α = 75.06°, β = 75.06°, γ = 84.46°
Atoms (fractional coordinates):
N 0.7914 0.7914 0.3342
Pb 0.6499 0.6499 0.6616
Bi 0.0000 0.0000 0.0000
N 0.2086 0.2086 0.6658
Pb 0.3501 0.3501 0.3384

Values from the calculation:
E_form (uncorrected), eV/f.u.: 3.61
Total energy, eV/atom: -4.87


No. 11
TmZrPa2C4: optimized geometry, PBE.

a = 3.5386 Å, b = 6.0849 Å, c = 6.1425 Å
α = 70.41°, β = 90.00°, γ = 90.00°
Atoms (fractional coordinates):
Tm 0.5000 0.5000 0.0000
Pa 0.0000 0.0000 0.0000
C 0.0000 0.7587 0.7403
C 0.0000 0.2413 0.2597
Pa 0.5000 0.0000 0.5000
Zr 0.0000 0.5000 0.5000
C 0.5000 0.2516 0.7427
C 0.5000 0.7484 0.2573

Values from the calculation:
Total energy, eV/atom: -9.13


No. 12
Fe4AgSb: optimized geometry, PBE.

a = 4.9605 Å, b = 4.9605 Å, c = 4.9605 Å
α = 60.00°, β = 60.00°, γ = 60.00°
Atoms (fractional coordinates):
Ag 0.0000 0.0000 0.0000
Fe 0.3745 0.3745 0.8764
Sb 0.7500 0.7500 0.7500
Fe 0.3745 0.3745 0.3745
Fe 0.3745 0.8764 0.3745
Fe 0.8764 0.3745 0.3745

Values from the calculation:
E_form (uncorrected), eV/f.u.: 1.59
Total energy, eV/atom: -6.54


No. 13
NdCuNi2H8: optimized geometry, PBE.

a = 4.4548 Å, b = 4.4548 Å, c = 6.0287 Å
α = 68.32°, β = 68.32°, γ = 60.00°
Atoms (fractional coordinates):
Cu 0.0000 0.0000 0.0000
H 0.0940 0.3682 0.8542
Ni 0.7012 0.7012 0.8963
Ni 0.2988 0.2988 0.1037
H 0.6318 0.3164 0.1458
H 0.3164 0.9060 0.1458
H 0.8005 0.8005 0.5984
H 0.1995 0.1995 0.4016
Nd 0.5000 0.5000 0.5000
H 0.6836 0.0940 0.8542
H 0.9060 0.6318 0.1458
H 0.3682 0.6836 0.8542

Values from the calculation:
Total energy, eV/atom: -4.06


No. 14
PdPtPb6: optimized geometry, PBE.

a = 6.7104 Å, b = 6.1448 Å, c = 7.7604 Å
α = 60.09°, β = 64.38°, γ = 58.93°
Atoms (fractional coordinates):
Pb 0.9558 0.5170 0.3038
Pb 0.4221 0.7545 0.7511
Pb 0.2831 0.9638 0.1976
Pb 0.0442 0.4830 0.6962
Pb 0.5779 0.2455 0.2489
Pt 0.0000 0.0000 0.0000
Pb 0.7169 0.0362 0.8024
Pd 0.5000 0.5000 0.5000

Values from the calculation:
Total energy, eV/atom: -4.25
Offset from the most stable computed form, eV/atom: 0.000


No. 15
SmErZr2As4: optimized geometry, PBE.

a = 3.9794 Å, b = 6.9018 Å, c = 6.9828 Å
α = 109.29°, β = 90.00°, γ = 90.00°
Atoms (fractional coordinates):
As 0.5000 0.7493 0.7366
Er 0.0000 0.0000 0.0000
As 0.0000 0.7594 0.2664
As 0.5000 0.2507 0.2634
Sm 0.5000 0.5000 0.0000
Zr 0.5000 0.0000 0.5000
As 0.0000 0.2406 0.7336
Zr 0.0000 0.5000 0.5000

Values from the calculation:
Total energy, eV/atom: -6.93


No. 16
BaScNbSb2: optimized geometry, PBE.

a = 5.4845 Å, b = 5.7577 Å, c = 5.4845 Å
α = 90.00°, β = 90.00°, γ = 90.00°
Atoms (fractional coordinates):
Sb 0.5000 0.0000 0.0000
Sc 0.0000 0.0000 0.0000
Nb 0.5000 0.5000 0.5000
Sb 0.0000 0.0000 0.5000
Ba 0.0000 0.5000 0.0000

Values from the calculation:
E_form (uncorrected), eV/f.u.: 3.88
Total energy, eV/atom: -4.54


No. 17
Ce3PuU2P6: optimized geometry, PBE.

a = 6.9386 Å, b = 6.9386 Å, c = 6.9768 Å
α = 99.54°, β = 99.54°, γ = 120.04°
Atoms (fractional coordinates):
Ce 0.5000 0.5000 0.5000
U 0.6670 0.3330 0.0000
P 0.5822 0.9199 0.7602
P 0.2584 0.2584 0.7612
P 0.0801 0.4178 0.2398
P 0.4178 0.0801 0.2398
Pu 0.0000 0.0000 0.0000
Ce 0.1652 0.8348 0.5000
P 0.7416 0.7416 0.2388
U 0.3330 0.6670 0.0000
Ce 0.8348 0.1652 0.5000
P 0.9199 0.5822 0.7602

Values from the calculation:
Total energy, eV/atom: -8.51


No. 18
KRbNa2: optimized geometry, PBE.

a = 4.4624 Å, b = 4.4624 Å, c = 13.7023 Å
α = 80.63°, β = 80.63°, γ = 60.00°
Atoms (fractional coordinates):
K 0.6666 0.6666 0.0001
Na 0.0808 0.0808 0.7577
Na 0.2526 0.2526 0.2422
Rb 0.5000 0.5000 0.5000

Values from the calculation:
Total energy, eV/atom: -1.10
Offset from the most stable computed form, eV/atom: 0.045


No. 19
Tm2TeI: optimized geometry, PBE.

a = 4.0443 Å, b = 7.2237 Å, c = 9.3857 Å
α = 90.06°, β = 89.98°, γ = 89.98°
Atoms (fractional coordinates):
Tm 0.7008 0.6887 0.2988
Tm 0.2016 0.1883 0.9172
Tm 0.7015 0.4971 0.6910
I 0.2011 0.7966 0.7999
Te 0.2008 0.9504 0.1929
I 0.7003 0.2970 0.4157
Te 0.7013 0.4503 0.0231
Tm 0.2004 0.9983 0.5254

Values from the calculation:
E_form (uncorrected), eV/f.u.: -2.80
Total energy, eV/atom: -4.11
Offset from the most stable computed form, eV/atom: 0.145


No. 20
Pr2HPt: optimized geometry, PBE.

a = 4.1021 Å, b = 4.0994 Å, c = 6.6860 Å
α = 89.99°, β = 90.05°, γ = 60.01°
Atoms (fractional coordinates):
H 0.1764 0.6211 0.1597
Pr 0.1759 0.6212 0.5143
Pr 0.5095 0.9545 0.0382
Pt 0.8427 0.2878 0.7663

Values from the calculation:
Total energy, eV/atom: -5.41
Offset from the most stable computed form, eV/atom: 0.000


No. 21
Co5Ni6Ir2: optimized geometry, PBE.

a = 2.5552 Å, b = 8.3828 Å, c = 14.3546 Å
α = 90.00°, β = 90.00°, γ = 90.00°
Atoms (fractional coordinates):
Ir 0.0000 0.1659 0.7877
Co 0.5000 0.7895 0.0510
Co 0.5000 0.0895 0.2225
Ni 0.0000 0.0656 0.3659
Ni 0.0000 0.0583 0.0759
Ir 0.0000 0.6659 0.7123
Ni 0.0000 0.4417 0.5759
Co 0.5000 0.7105 0.5510
Co 0.5000 0.5000 0.0000
Ir 0.0000 0.8341 0.2123
Ni 0.0000 0.4344 0.8659
Co 0.5000 0.0000 0.5000
Ni 0.5000 0.6915 0.8789
Co 0.5000 0.2895 0.4490
Co 0.5000 0.4105 0.7225
Ni 0.5000 0.1915 0.6211
Ni 0.0000 0.5583 0.4241
Ni 0.5000 0.8085 0.3789
Co 0.5000 0.9105 0.7775
Co 0.5000 0.5895 0.2775
Co 0.5000 0.2105 0.9490
Ni 0.0000 0.9417 0.9241
Ni 0.0000 0.9344 0.6341
Ir 0.0000 0.3341 0.2877
Ni 0.5000 0.3085 0.1211
Ni 0.0000 0.5656 0.1341

Values from the calculation:
Total energy, eV/atom: -6.64


No. 22
RbMnSn2Cl: optimized geometry, PBE.

a = 6.3050 Å, b = 5.6068 Å, c = 6.3050 Å
α = 90.00°, β = 90.00°, γ = 90.00°
Atoms (fractional coordinates):
Rb 0.0000 0.0000 0.0000
Sn 0.0000 0.0000 0.5000
Mn 0.5000 0.5000 0.5000
Cl 0.0000 0.5000 0.0000
Sn 0.5000 0.0000 0.0000

Values from the calculation:
E_form (uncorrected), eV/f.u.: 5.15
Total energy, eV/atom: -2.97


No. 23
LaSiRh2: optimized geometry, PBE.

a = 4.0523 Å, b = 4.0523 Å, c = 9.6417 Å
α = 90.00°, β = 90.00°, γ = 90.00°
Atoms (fractional coordinates):
Si 0.0000 0.5000 0.3676
La 0.5000 0.0000 0.1986
Rh 0.0000 0.0000 0.5000
Rh 0.5000 0.0000 0.8751
Si 0.5000 0.0000 0.6324
Rh 0.0000 0.5000 0.1249
Rh 0.5000 0.5000 0.5000
La 0.0000 0.5000 0.8014

Values from the calculation:
E_form (uncorrected), eV/f.u.: -3.57
Total energy, eV/atom: -7.15


No. 24
Sr3Cl: optimized geometry, PBE.

a = 4.2887 Å, b = 6.7877 Å, c = 7.4703 Å
α = 90.00°, β = 90.00°, γ = 90.00°
Atoms (fractional coordinates):
Sr 0.0000 0.5000 0.2726
Sr 0.5000 0.5000 0.7657
Sr 0.5000 0.0000 0.4447
Cl 0.0000 0.0000 0.1837

Values from the calculation:
E_form (uncorrected), eV/f.u.: -2.50
Total energy, eV/atom: -2.35
Offset from the most stable computed form, eV/atom: 0.201